[1]
Compound: Ba2CdBPt
Source: Alexandria via LeMat-Bulk
Functional: PBE-GGA
Structure: relaxed

## Properties
Energy of formation ... -296 meV/atom
Total DFT energy (no corrections) ... -18.96 eV per cell
Size of the total moment ... 0.0 μB per cell

abc: 6.104 4.050 6.104
angles: 90.00 90.00 90.00
Fractional coordinates of all 5 atoms:
B: 0.000 0.000 0.000
Ba: 0.000 0.000 0.500
Ba: 0.500 0.000 0.000
Pt: 0.000 0.500 0.000
Cd: 0.500 0.500 0.500

***

[2]
Compound: Na3Hg4Au4
Source: Alexandria via LeMat-Bulk
Functional: PBE-GGA
Structure: relaxed

## Properties
Energy of formation ... -170 meV/atom
Total DFT energy (no corrections) ... -20.14 eV per cell
Size of the total moment ... 0.0 μB per cell

abc: 4.477 7.497 9.168
angles: 114.14 104.13 90.00
Fractional coordinates of all 11 atoms:
Na: 0.135 0.135 0.269
Na: 0.865 0.865 0.731
Na: 0.000 0.500 0.000
Hg: 0.229 0.729 0.459
Hg: 0.771 0.271 0.541
Hg: 0.500 0.805 0.000
Hg: 0.500 0.195 0.000
Au: 0.338 0.146 0.676
Au: 0.662 0.470 0.324
Au: 0.662 0.854 0.324
Au: 0.338 0.530 0.676

***

[3]
Compound: LiPa4Ge8
Source: Alexandria via LeMat-Bulk
Functional: PBE-GGA
Structure: relaxed

## Properties
Energy of formation ... -401 meV/atom
Total DFT energy (no corrections) ... -82.05 eV per cell
Size of the total moment ... 0.0 μB per cell

abc: 4.041 4.102 16.034
angles: 90.00 90.00 90.00
Fractional coordinates of all 13 atoms:
Li: 0.000 0.000 0.316
Pa: 0.000 0.000 0.098
Pa: 0.000 0.500 0.610
Pa: 0.500 0.500 0.397
Pa: 0.500 0.000 0.892
Ge: 0.000 0.000 0.461
Ge: 0.000 0.500 0.938
Ge: 0.500 0.500 0.050
Ge: 0.500 0.000 0.566
Ge: 0.000 0.500 0.238
Ge: 0.000 0.000 0.751
Ge: 0.500 0.000 0.237
Ge: 0.500 0.500 0.751

***

[4]
Compound: AlIr3W
Source: Alexandria via LeMat-Bulk
Functional: PBE-GGA
Structure: relaxed

## Properties
Energy of formation ... 1211 meV/atom
Total DFT energy (no corrections) ... -37.22 eV per cell
Size of the total moment ... 2.1 μB per cell

abc: 4.396 4.396 4.396
angles: 90.00 90.00 90.00
Each line ends with the local moment (μB).
Fractional coordinates of all 5 atoms:
Ir: 0.000 0.500 0.000  0.09
Ir: 0.000 0.000 0.500  0.10
Ir: 0.500 0.000 0.000  0.01
Al: 0.000 0.000 0.000  -0.01
W: 0.500 0.500 0.500  1.55

***

[5]
Compound: Nd5Y3As8
Source: Alexandria via LeMat-Bulk
Functional: PBE-GGA
Structure: relaxed

## Properties
Energy of formation ... -1523 meV/atom
Total DFT energy (no corrections) ... -104.79 eV per cell
Size of the total moment ... 0.0 μB per cell

abc: 8.437 8.437 8.436
angles: 59.99 59.99 60.00
Fractional coordinates of all 16 atoms:
Nd: 0.500 0.000 0.000
Nd: 0.500 0.500 0.000
Nd: 0.000 0.000 0.000
Nd: 0.000 0.500 0.000
Nd: 0.500 0.500 0.500
Y: 0.500 0.000 0.500
Y: 0.000 0.000 0.500
Y: 0.000 0.500 0.500
As: 0.250 0.250 0.744
As: 0.250 0.756 0.744
As: 0.756 0.250 0.744
As: 0.753 0.753 0.741
As: 0.750 0.750 0.256
As: 0.750 0.244 0.256
As: 0.244 0.750 0.256
As: 0.247 0.247 0.259

***

[6]
Compound: ZrCl
Source: Alexandria via LeMat-Bulk
Functional: PBE-GGA
Structure: relaxed

## Properties
Energy relative to the elements, uncorrected ... -0.213 eV/atom
Total DFT energy (no corrections) ... -86.56 eV per cell
Size of the total moment ... 0.0 μB per cell

abc: 8.301 8.301 8.301
angles: 90.00 90.00 90.00
Fractional coordinates of all 16 atoms:
Zr: 0.377 0.377 0.377
Zr: 0.377 0.623 0.623
Zr: 0.623 0.377 0.623
Zr: 0.623 0.623 0.377
Zr: 0.877 0.877 0.877
Zr: 0.877 0.123 0.123
Zr: 0.123 0.877 0.123
Zr: 0.123 0.123 0.877
Cl: 0.187 0.187 0.187
Cl: 0.187 0.813 0.813
Cl: 0.813 0.187 0.813
Cl: 0.813 0.813 0.187
Cl: 0.687 0.687 0.687
Cl: 0.687 0.313 0.313
Cl: 0.313 0.687 0.313
Cl: 0.313 0.313 0.687

***

[7]
Compound: Ho2Al2Cd3
Source: Alexandria via LeMat-Bulk
Functional: PBE-GGA
Structure: relaxed

## Properties
Energy of formation ... -293 meV/atom
Total DFT energy (no corrections) ... -21.43 eV per cell
Size of the total moment ... 0.0 μB per cell

abc: 3.422 4.441 10.750
angles: 101.92 90.00 90.00
Fractional coordinates of all 7 atoms:
Ho: 0.000 0.841 0.681
Ho: 0.000 0.159 0.319
Al: 0.500 0.717 0.434
Al: 0.500 0.283 0.566
Cd: 0.500 0.574 0.148
Cd: 0.500 0.426 0.852
Cd: 0.000 0.000 0.000

***

[8]
Compound: AlTcHg2
Source: Alexandria via LeMat-Bulk
Functional: PBE-GGA
Structure: relaxed

## Properties
Energy of formation ... 471 meV/atom
Total DFT energy (no corrections) ... -12.83 eV per cell
Size of the total moment ... 0.7 μB per cell

abc: 9.372 9.372 9.372
angles: 18.75 18.75 18.75
Each line ends with the local moment (μB).
Fractional coordinates of all 4 atoms:
Al: 0.750 0.750 0.750  0.00
Hg: 0.000 0.000 0.000  -0.01
Hg: 0.500 0.500 0.500  -0.01
Tc: 0.250 0.250 0.250  0.68

***

[9]
Compound: Pm7Cd3
Source: Alexandria via LeMat-Bulk
Functional: PBE-GGA
Structure: relaxed

## Properties
Energy of formation ... -97 meV/atom
Total DFT energy (no corrections) ... -73.94 eV per cell
Size of the total moment ... 0.0 μB per cell

abc: 6.841 10.352 10.352
angles: 120.00 90.00 90.00
Fractional coordinates of all 20 atoms:
Pm: 0.044 0.667 0.333
Pm: 0.544 0.333 0.667
Pm: 0.921 0.876 0.752
Pm: 0.921 0.876 0.124
Pm: 0.921 0.248 0.124
Pm: 0.421 0.124 0.248
Pm: 0.421 0.124 0.876
Pm: 0.421 0.752 0.876
Pm: 0.169 0.469 0.939
Pm: 0.169 0.469 0.531
Pm: 0.169 0.061 0.531
Pm: 0.669 0.531 0.061
Pm: 0.669 0.531 0.469
Pm: 0.669 0.939 0.469
Cd: 0.865 0.205 0.410
Cd: 0.865 0.205 0.795
Cd: 0.865 0.590 0.795
Cd: 0.365 0.795 0.590
Cd: 0.365 0.795 0.205
Cd: 0.365 0.410 0.205

***

[10]
Compound: LaNd2Sm2Ho2
Source: Alexandria via LeMat-Bulk
Functional: PBE-GGA
Structure: relaxed

## Properties
Energy of formation ... 21 meV/atom
Total DFT energy (no corrections) ... -32.91 eV per cell
Size of the total moment ... 0.0 μB per cell

abc: 5.142 6.269 8.166
angles: 97.48 90.00 114.21
Fractional coordinates of all 7 atoms:
La: 0.000 0.000 0.000
Nd: 0.572 0.145 0.716
Nd: 0.428 0.855 0.284
Sm: 0.143 0.286 0.431
Sm: 0.857 0.714 0.569
Ho: 0.715 0.429 0.144
Ho: 0.285 0.571 0.856

***

[11]
Compound: SrTlB3
Source: Alexandria via LeMat-Bulk
Functional: PBE-GGA
Structure: relaxed

## Properties
Energy of formation ... 2574 meV/atom
Total DFT energy (no corrections) ... -11.21 eV per cell
Size of the total moment ... 0.6 μB per cell

abc: 5.140 5.140 5.140
angles: 90.00 90.00 90.00
Each line ends with the local moment (μB).
Fractional coordinates of all 5 atoms:
Sr: 0.000 0.000 0.000  0.06
Tl: 0.500 0.500 0.500  0.02
B: 0.000 0.500 0.000  0.07
B: 0.000 0.000 0.500  0.03
B: 0.500 0.000 0.000  0.10

***

[12]
Compound: PuUGePt
Source: Alexandria via LeMat-Bulk
Functional: PBE-GGA
Structure: relaxed

## Properties
Energy of formation ... -89 meV/atom
Total DFT energy (no corrections) ... -36.63 eV per cell
Size of the total moment ... 8.5 μB per cell

abc: 5.056 4.775 4.775
angles: 60.00 90.00 90.00
Each line ends with the local moment (μB).
Fractional coordinates of all 4 atoms:
Pu: 0.280 0.000 0.000  5.54
U: 0.165 0.667 0.667  2.60
Ge: 0.488 0.333 0.333  -0.05
Pt: 0.961 0.333 0.333  0.06

***

[13]
Compound: Sr2TaP2
Source: Alexandria via LeMat-Bulk
Functional: PBE-GGA
Structure: relaxed

## Properties
Energy of formation ... -500 meV/atom
Total DFT energy (no corrections) ... -57.07 eV per cell
Size of the total moment ... 0.0 μB per cell

abc: 7.132 7.132 4.569
angles: 90.00 90.00 90.00
Fractional coordinates of all 10 atoms:
Sr: 0.154 0.654 0.500
Sr: 0.654 0.846 0.500
Sr: 0.846 0.346 0.500
Sr: 0.346 0.154 0.500
P: 0.331 0.831 0.000
P: 0.831 0.669 0.000
P: 0.669 0.169 0.000
P: 0.169 0.331 0.000
Ta: 0.000 0.000 0.000
Ta: 0.500 0.500 0.000

***

[14]
Compound: BeRe2HgSb
Source: Alexandria via LeMat-Bulk
Functional: PBE-GGA
Structure: relaxed

## Properties
Energy relative to the elements, uncorrected ... 1.112 eV/atom
Total DFT energy (no corrections) ... -27.49 eV per cell
Size of the total moment ... 0.5 μB per cell

abc: 4.434 4.325 4.434
angles: 90.00 90.00 90.00
Each line ends with the local moment (μB).
Fractional coordinates of all 5 atoms:
Re: 0.000 0.000 0.500  0.29
Re: 0.500 0.000 0.000  0.18
Be: 0.000 0.000 0.000  -0.01
Hg: 0.000 0.500 0.000  0.01
Sb: 0.500 0.500 0.500  0.00

***

[15]
Compound: HoAlCu5
Source: Alexandria via LeMat-Bulk
Functional: PBE-GGA
Structure: relaxed

## Properties
Energy of formation ... -271 meV/atom
Total DFT energy (no corrections) ... -122.80 eV per cell
Size of the total moment ... 0.0 μB per cell

abc: 4.995 8.064 10.200
angles: 90.00 90.00 90.00
Fractional coordinates of all 28 atoms:
Ho: 0.250 0.245 0.942
Ho: 0.750 0.255 0.442
Ho: 0.250 0.745 0.558
Ho: 0.750 0.755 0.058
Al: 0.250 0.854 0.855
Al: 0.750 0.646 0.355
Al: 0.250 0.354 0.645
Al: 0.750 0.146 0.145
Cu: 0.250 0.594 0.016
Cu: 0.750 0.906 0.516
Cu: 0.250 0.094 0.484
Cu: 0.750 0.406 0.984
Cu: 0.750 0.317 0.747
Cu: 0.250 0.183 0.247
Cu: 0.750 0.817 0.753
Cu: 0.250 0.683 0.253
Cu: 0.250 0.939 0.089
Cu: 0.750 0.561 0.589
Cu: 0.250 0.439 0.411
Cu: 0.750 0.061 0.911
Cu: 0.994 0.434 0.194
Cu: 0.006 0.066 0.694
Cu: 0.506 0.934 0.306
Cu: 0.494 0.566 0.806
Cu: 0.006 0.566 0.806
Cu: 0.994 0.934 0.306
Cu: 0.494 0.066 0.694
Cu: 0.506 0.434 0.194

***

[16]
Compound: La2ZnIr2
Source: Alexandria via LeMat-Bulk
Functional: PBE-GGA
Structure: relaxed

## Properties
Energy of formation ... -678 meV/atom
Total DFT energy (no corrections) ... -64.49 eV per cell
Size of the total moment ... 0.0 μB per cell

abc: 5.807 5.807 8.227
angles: 75.03 75.03 58.25
Fractional coordinates of all 10 atoms:
La: 0.505 0.203 0.148
La: 0.797 0.495 0.352
La: 0.495 0.797 0.852
La: 0.203 0.505 0.648
Zn: 0.126 0.874 0.250
Zn: 0.874 0.126 0.750
Ir: 0.715 0.014 0.521
Ir: 0.986 0.285 0.979
Ir: 0.285 0.986 0.479
Ir: 0.014 0.715 0.021

***

[17]
Compound: Ti2As4W
Source: Alexandria via LeMat-Bulk
Functional: PBE-GGA
Structure: relaxed

## Properties
Energy of formation ... -420 meV/atom
Total DFT energy (no corrections) ... -50.28 eV per cell
Size of the total moment ... 0.0 μB per cell

abc: 3.520 6.331 6.905
angles: 115.82 104.76 90.00
Fractional coordinates of all 7 atoms:
Ti: 0.754 0.760 0.509
Ti: 0.246 0.240 0.491
As: 0.879 0.215 0.758
As: 0.121 0.785 0.242
As: 0.614 0.312 0.228
As: 0.386 0.688 0.772
W: 0.000 0.000 0.000

***

[18]
Compound: CsHf4Zn2
Source: Alexandria via LeMat-Bulk
Functional: PBE-GGA
Structure: relaxed

## Properties
Energy of formation ... 1728 meV/atom
Total DFT energy (no corrections) ... -31.12 eV per cell
Size of the total moment ... 0.0 μB per cell

abc: 5.234 5.234 7.560
angles: 69.75 69.75 90.00
Fractional coordinates of all 7 atoms:
Cs: 0.000 0.000 0.000
Zn: 0.592 0.592 0.816
Zn: 0.408 0.408 0.184
Hf: 0.788 0.788 0.425
Hf: 0.212 0.212 0.575
Hf: 0.000 0.500 0.000
Hf: 0.500 0.000 0.000

***

[19]
Compound: Sr2Hg2Se
Source: Alexandria via LeMat-Bulk
Functional: PBE-GGA
Structure: relaxed

## Properties
Energy relative to the elements, uncorrected ... -0.688 eV/atom
Total DFT energy (no corrections) ... -21.79 eV per cell
Size of the total moment ... 0.0 μB per cell

abc: 8.420 8.420 4.421
angles: 90.00 90.00 90.00
Fractional coordinates of all 10 atoms:
Sr: 0.179 0.679 0.500
Sr: 0.679 0.821 0.500
Sr: 0.821 0.321 0.500
Sr: 0.321 0.179 0.500
Hg: 0.376 0.876 0.000
Hg: 0.876 0.624 0.000
Hg: 0.624 0.124 0.000
Hg: 0.124 0.376 0.000
Se: 0.000 0.000 0.000
Se: 0.500 0.500 0.000

***

[20]
Compound: Rb2O3
Source: Alexandria via LeMat-Bulk
Functional: PBE-GGA
Structure: relaxed

## Properties
Energy relative to the elements, uncorrected ... -0.920 eV/atom
Total DFT energy (no corrections) ... -85.65 eV per cell
Size of the total moment ... 4.0 μB per cell

abc: 8.128 8.128 8.128
angles: 109.47 109.47 109.47
Each line ends with the local moment (μB).
Fractional coordinates of all 20 atoms:
O: 0.950 0.700 0.250  0.27
O: 0.550 0.800 0.750  0.27
O: 0.750 0.450 0.700  0.27
O: 0.250 0.050 0.800  0.27
O: 0.300 0.750 0.050  0.27
O: 0.200 0.250 0.450  0.27
O: 0.250 0.200 0.950  0.27
O: 0.750 0.300 0.550  0.27
O: 0.700 0.950 0.750  0.27
O: 0.800 0.550 0.250  0.27
O: 0.050 0.250 0.300  0.27
O: 0.450 0.750 0.200  0.27
Rb: 0.000 0.896 0.000  0.00
Rb: 0.104 0.604 0.604  0.00
Rb: 0.500 0.500 0.896  0.00
Rb: 0.396 0.000 0.500  0.00
Rb: 0.000 0.396 0.000  0.00
Rb: 0.604 0.104 0.104  0.00
Rb: 0.896 0.000 0.500  0.00
Rb: 0.500 0.500 0.396  0.00

***

[21]
Compound: Sm8Ho3Sc2
Source: Alexandria via LeMat-Bulk
Functional: PBE-GGA
Structure: relaxed

## Properties
Energy of formation ... 220 meV/atom
Total DFT energy (no corrections) ... -61.29 eV per cell
Size of the total moment ... 0.0 μB per cell

abc: 5.646 7.732 10.547
angles: 111.50 90.00 90.00
Fractional coordinates of all 13 atoms:
Sm: 0.000 0.678 0.355
Sm: 0.000 0.322 0.645
Sm: 0.000 0.133 0.266
Sm: 0.000 0.867 0.734
Sm: 0.500 0.595 0.779
Sm: 0.500 0.183 0.779
Sm: 0.500 0.817 0.221
Sm: 0.500 0.405 0.221
Ho: 0.500 0.000 0.000
Ho: 0.000 0.287 0.000
Ho: 0.000 0.713 0.000
Sc: 0.500 0.240 0.480
Sc: 0.500 0.760 0.520

***

[22]
Compound: LiHoSnBi
Source: Alexandria via LeMat-Bulk
Functional: PBE-GGA
Structure: relaxed

## Properties
Energy of formation ... -383 meV/atom
Total DFT energy (no corrections) ... -15.91 eV per cell
Size of the total moment ... 0.0 μB per cell

abc: 5.285 5.285 5.285
angles: 60.00 60.00 60.00
Fractional coordinates of all 4 atoms:
Li: 0.000 0.000 0.000
Bi: 0.750 0.750 0.750
Sn: 0.250 0.250 0.250
Ho: 0.500 0.500 0.500